# SiNi2H

A geometry-optimized SiNi2H structure (PBE, the Alexandria database).

Size of the total moment (μB/f.u.): 0.00
ΔE to the lowest computed polymorph (eV/atom): 0.000
DFT total energy (eV per atom): -5.308

abc: 2.6719 2.6719 6.0190
angles: 77.18 77.18 60.00
Closest atoms and distances in Å follow each position.
Fractional positions:
1 Ni 0.2695 0.2695 0.1916  3 H 1.90
2 H 0.0000 0.0000 0.0000  6 Ni 1.90
3 Si 0.5000 0.5000 0.5000  6 Ni 2.37
4 Ni 0.7305 0.7305 0.8084  3 H 1.90

---

# SiNiH3

A geometry-optimized SiNiH3 structure (PBE, the Alexandria database).

Size of the total moment (μB/f.u.): 0.00
ΔE to the lowest computed polymorph (eV/atom): 0.345
DFT total energy (eV per atom): -3.502

abc: 3.4179 3.4179 3.4179
angles: 90.00 90.00 90.00
Closest atoms and distances in Å follow each position.
Fractional positions:
1 H 0.5000 0.0000 0.0000  2 Si 1.71
2 H 0.0000 0.5000 0.0000  2 Si 1.71
3 H 0.0000 0.0000 0.5000  2 Si 1.71
4 Si 0.0000 0.0000 0.0000  6 H 1.71
5 Ni 0.5000 0.5000 0.5000  12 H 2.42